Density functional theory data (PBE-GGA) for a geometry-optimized NbV4Ni12 structure.

Cell: 6.4963 6.4963 6.4963 Å, 109.47 109.47 109.47°
With the nearest neighbours (Å) after each atom.
Atoms (fractional coordinates):
Nb 0.0000 0.0000 0.0000  6 Ni 2.34
V 0.0000 0.0000 0.5000  12 Ni 2.65-2.69
V 0.0000 0.5000 0.0000  12 Ni 2.65-2.69
V 0.5000 0.0000 0.0000  12 Ni 2.65-2.69
V 0.5000 0.5000 0.5000  12 Ni 2.65-2.69
Ni 0.0000 0.3116 0.3116  1 Nb 2.34, 4 Ni 2.35
Ni 0.0000 0.6884 0.6884  1 Nb 2.34, 4 Ni 2.35
Ni 0.2500 0.5000 0.7500  4 Ni 2.35
Ni 0.2500 0.7500 0.5000  4 Ni 2.35
Ni 0.3116 0.0000 0.3116  1 Nb 2.34, 4 Ni 2.35
Ni 0.3116 0.3116 0.0000  1 Nb 2.34, 4 Ni 2.35
Ni 0.5000 0.2500 0.7500  4 Ni 2.35
Ni 0.5000 0.7500 0.2500  4 Ni 2.35
Ni 0.6884 0.0000 0.6884  1 Nb 2.34, 4 Ni 2.35
Ni 0.6884 0.6884 0.0000  1 Nb 2.34, 4 Ni 2.35
Ni 0.7500 0.2500 0.5000  4 Ni 2.35
Ni 0.7500 0.5000 0.2500  4 Ni 2.35

Values from the calculation:
The total energy comes out at -6.7440 eV/atom. As for the symmetry: Im-3m, No. 229. The calculation puts the formation energy at 7.2 kJ/mol of atoms.